(1)
# Ac6HRh4 (PBE, optimized geometry)
data_Ac6HRh4
_space_group_name_H-M_alt 'C 1 m 1'
_space_group_IT_number 8
_space_group_name_Hall 'C -2y'
_cell_length_a 8.973
_cell_length_b 8.002
_cell_length_c 9.243
_cell_angle_alpha 90.00
_cell_angle_beta 104.65
_cell_angle_gamma 90.00
loop_
_atom_site_label
_atom_site_type_symbol
_atom_site_fract_x
_atom_site_fract_y
_atom_site_fract_z
Ac1 Ac 0.000 0.000 0.000
Ac2 Ac 0.046 0.500 0.016
Ac3 Ac 0.189 0.243 0.693
Ac4 Ac 0.345 0.256 0.349
H1 H 0.154 0.500 0.298
Rh1 Rh 0.279 0.215 0.029
Rh2 Rh 0.419 0.500 0.634
Rh3 Rh 0.420 0.000 0.610
# N(E_F) = 0.60 states/eV per atom
# M_tot = 0.0 μB/f.u.
# total energy = -5.740 eV/atom
# V = 29.19 Å³/atom

***

(2)
# AcH6Rh2 (PBE, optimized geometry)
data_AcH6Rh2
_space_group_name_H-M_alt 'C 1 2/m 1'
_space_group_IT_number 12
_space_group_name_Hall '-C 2y'
_cell_length_a 4.917
_cell_length_b 8.515
_cell_length_c 4.386
_cell_angle_alpha 90.00
_cell_angle_beta 90.12
_cell_angle_gamma 90.00
loop_
_atom_site_label
_atom_site_type_symbol
_atom_site_fract_x
_atom_site_fract_y
_atom_site_fract_z
Ac1 Ac 0.000 0.000 0.000
H1 H 0.001 0.500 0.256
H2 H 0.250 0.250 0.256
Rh1 Rh 0.000 0.333 0.500
# N(E_F) = 0.65 states/eV per atom
# M_tot = 0.4 μB/f.u.
# total energy = -4.676 eV/atom
# V = 10.20 Å³/atom

***

(3)
# AcH5Rh (PBE, optimized geometry)
data_AcH5Rh
_space_group_name_H-M_alt 'I m m m'
_space_group_IT_number 71
_space_group_name_Hall '-I 2 2'
_cell_length_a 4.063
_cell_length_b 5.099
_cell_length_c 7.055
_cell_angle_alpha 90.00
_cell_angle_beta 90.00
_cell_angle_gamma 90.00
loop_
_atom_site_label
_atom_site_type_symbol
_atom_site_fract_x
_atom_site_fract_y
_atom_site_fract_z
Ac1 Ac 0.000 0.000 0.000
H1 H 0.000 0.240 0.338
H2 H 0.000 0.500 0.000
Rh1 Rh 0.000 0.000 0.500
# M_tot = 0.0 μB/f.u.
# total energy = -4.530 eV/atom
# V = 10.44 Å³/atom

***

(4)
# AcH7Rh4 (PBE, optimized geometry)
data_AcH7Rh4
_space_group_name_H-M_alt 'P m n 21'
_space_group_IT_number 31
_space_group_name_Hall 'P 2ac -2'
_cell_length_a 9.819
_cell_length_b 5.459
_cell_length_c 4.751
_cell_angle_alpha 90.00
_cell_angle_beta 90.00
_cell_angle_gamma 90.00
loop_
_atom_site_label
_atom_site_type_symbol
_atom_site_fract_x
_atom_site_fract_y
_atom_site_fract_z
Ac1 Ac 0.000 0.185 0.000
H1 H 0.000 0.866 0.433
H2 H 0.115 0.750 0.787
H3 H 0.129 0.172 0.516
H4 H 0.140 0.591 0.318
Rh1 Rh 0.178 0.878 0.483
Rh2 Rh 0.238 0.611 0.992
# N(E_F) = 0.40 states/eV per atom
# M_tot = 0.0 μB/f.u.
# total energy = -4.960 eV/atom
# V = 10.61 Å³/atom